P | # Ac3LaPr

A geometry-optimized Ac3LaPr structure (PBE, Alexandria).

abc: 8.684 5.917 8.847
angles: 90.00 106.73 90.00
Space group P2_1/m (No. 11)
Inequivalent atoms, fractional coordinates:
Ac: 0.035 0.250 0.341 (multiplicity 2)
Ac: 0.343 0.750 0.023 (multiplicity 2)
Ac: 0.370 0.750 0.522 (multiplicity 2)
La: 0.071 0.250 0.939 (multiplicity 2)
Pr: 0.286 0.250 0.710 (multiplicity 2)

Results
Magnetic moment   0.00 μB/f.u.


Q | # Ac3LaPr

A geometry-optimized Ac3LaPr structure (PBE, Alexandria).

abc: 20.166 3.909 10.979
angles: 90.00 105.51 90.00
Space group C2/m (No. 12)
Inequivalent atoms, fractional coordinates:
Ac: 0.001 0.000 0.238 (multiplicity 4)
Ac: 0.101 0.500 0.546 (multiplicity 4)
Ac: 0.200 0.000 0.849 (multiplicity 4)
La: 0.200 0.000 0.350 (multiplicity 4)
Pr: 0.103 0.500 0.054 (multiplicity 4)

Results
Magnetic moment   0.00 μB/f.u.


Short version: P is the least stable of them.


P | # Ac2La3Pr8

A geometry-optimized Ac2La3Pr8 structure (PBE, Alexandria).

abc: 24.448 7.376 5.441
angles: 90.00 90.15 90.00
Space group C2/m (No. 12)
Inequivalent atoms, fractional coordinates:
Ac: 0.236 0.000 0.499 (multiplicity 4)
La: 0.000 0.236 0.000 (multiplicity 4)
La: 0.000 0.500 0.500 (multiplicity 2)
Pr: 0.079 0.000 0.499 (multiplicity 4)
Pr: 0.119 0.500 0.497 (multiplicity 4)
Pr: 0.166 0.246 0.999 (multiplicity 8)

Results
Magnetic moment   0.00 μB/f.u.


Q | # Ac2La3Pr8

A geometry-optimized Ac2La3Pr8 structure (PBE, Alexandria).

abc: 6.8287 6.8287 38.0316
angles: 90.00 90.00 120.00
Space group R-3m (No. 166, hexagonal axes)
Inequivalent atoms, fractional coordinates:
Ac: 0.0000 0.0000 0.1393 (multiplicity 6)
La: 0.0000 0.0000 0.3119 (multiplicity 6)
La: 0.0000 0.0000 0.5000 (multiplicity 3)
Pr: 0.0000 0.0000 0.2269 (multiplicity 6)
Pr: 0.0020 0.5010 0.7213 (multiplicity 18)

Results
Magnetic moment   0.00 μB/f.u.


Short version: Q is the least stable of them.


P | # Ac7LaPr4

A geometry-optimized Ac7LaPr4 structure (PBE, Alexandria).

abc: 6.785 7.804 9.667
angles: 90.26 103.37 90.02
Space group P-1 (No. 2)
Inequivalent atoms, fractional coordinates:
Ac: 0.000 0.000 0.000 (multiplicity 1)
Ac: 0.222 0.499 0.668 (multiplicity 2)
Ac: 0.282 0.755 0.336 (multiplicity 2)
Ac: 0.498 0.249 0.005 (multiplicity 2)
La: 0.000 0.500 0.000 (multiplicity 1)
Pr: 0.219 0.000 0.666 (multiplicity 2)
Pr: 0.273 0.249 0.331 (multiplicity 2)

Results
Magnetic moment   0.00 μB/f.u.


Q | # Ac7LaPr4

A geometry-optimized Ac7LaPr4 structure (PBE, Alexandria).

abc: 17.274 6.486 10.529
angles: 90.00 120.21 90.00
Space group C2/m (No. 12)
Inequivalent atoms, fractional coordinates:
Ac: 0.000 0.000 0.000 (multiplicity 2)
Ac: 0.087 0.500 0.448 (multiplicity 4)
Ac: 0.206 0.500 0.879 (multiplicity 4)
Ac: 0.228 0.500 0.258 (multiplicity 4)
La: 0.000 0.500 0.000 (multiplicity 2)
Pr: 0.060 0.000 0.700 (multiplicity 4)
Pr: 0.169 0.000 0.358 (multiplicity 4)

Results
Magnetic moment   0.15 μB/f.u.


Short version: Q is the least stable of them.


P | # Ac4La2Pr3

A geometry-optimized Ac4La2Pr3 structure (PBE, Alexandria).

abc: 3.8557 3.8557 28.6170
angles: 90.00 90.00 120.00
Space group P3m1 (No. 156)
Inequivalent atoms, fractional coordinates:
Ac: 0.0000 0.0000 0.0000 (multiplicity 1)
Ac: 0.0000 0.0000 0.2183 (multiplicity 1)
Ac: 0.3333 0.6667 0.3348 (multiplicity 1)
Ac: 0.3333 0.6667 0.5536 (multiplicity 1)
La: 0.0000 0.0000 0.6641 (multiplicity 1)
La: 0.0000 0.0000 0.8725 (multiplicity 1)
Pr: 0.0000 0.0000 0.4439 (multiplicity 1)
Pr: 0.3333 0.6667 0.1071 (multiplicity 1)
Pr: 0.3333 0.6667 0.7707 (multiplicity 1)

Results
Magnetic moment   0.00 μB/f.u.


Q | # Ac4La2Pr3

A geometry-optimized Ac4La2Pr3 structure (PBE, Alexandria).

abc: 16.339 5.438 8.600
angles: 90.00 108.53 90.00
Space group C2/m (No. 12)
Inequivalent atoms, fractional coordinates:
Ac: 0.052 0.000 0.329 (multiplicity 4)
Ac: 0.223 0.500 0.328 (multiplicity 4)
La: 0.168 0.000 0.001 (multiplicity 4)
Pr: 0.000 0.500 0.000 (multiplicity 2)
Pr: 0.112 0.500 0.673 (multiplicity 4)

Results
Magnetic moment   0.00 μB/f.u.


Short version: P is the least stable of them.


P | # AcLa2Pr3

A geometry-optimized AcLa2Pr3 structure (PBE, Alexandria).

abc: 11.412 11.302 7.004
angles: 90.00 90.00 90.00
Space group Cmcm (No. 63)
Inequivalent atoms, fractional coordinates:
Ac: 0.000 0.102 0.250 (multiplicity 4)
La: 0.151 0.249 0.750 (multiplicity 8)
Pr: 0.000 0.410 0.250 (multiplicity 4)
Pr: 0.244 0.500 0.000 (multiplicity 8)

Results
Magnetic moment   0.00 μB/f.u.


Q | # AcLa2Pr3

A geometry-optimized AcLa2Pr3 structure (PBE, Alexandria).

abc: 7.5258 7.5258 9.2301
angles: 90.00 90.00 120.00
Space group P-3m1 (No. 164)
Inequivalent atoms, fractional coordinates:
Ac: 0.3333 0.6667 0.3358 (multiplicity 2)
La: 0.0000 0.0000 0.0000 (multiplicity 1)
La: 0.0000 0.5000 0.0000 (multiplicity 3)
Pr: 0.1653 0.3305 0.6694 (multiplicity 6)

Results
Magnetic moment   0.00 μB/f.u.


Short version: P is the least stable of them.


P | # AcLa2Pr

A geometry-optimized AcLa2Pr structure (PBE, Alexandria).

abc: 3.816 3.816 10.639
angles: 90.00 90.00 90.00
Space group P4/mmm (No. 123)
Inequivalent atoms, fractional coordinates:
Ac: 0.000 0.000 0.000 (multiplicity 1)
La: 0.500 0.500 0.261 (multiplicity 2)
Pr: 0.000 0.000 0.500 (multiplicity 1)

Results
Magnetic moment   0.00 μB/f.u.


Q | # AcLa2Pr

A geometry-optimized AcLa2Pr structure (PBE, Alexandria).

abc: 8.568 8.568 8.568
angles: 90.00 90.00 90.00
Space group Fm-3m (No. 225)
Inequivalent atoms, fractional coordinates:
Ac: 0.000 0.000 0.000 (multiplicity 4)
La: 0.250 0.250 0.250 (multiplicity 8)
Pr: 0.000 0.000 0.500 (multiplicity 4)

Results
Magnetic moment   1.91 μB/f.u.


R | # AcLa2Pr

A geometry-optimized AcLa2Pr structure (PBE, Alexandria).

abc: 3.8110 3.8110 37.0934
angles: 90.00 90.00 120.00
Space group R-3m (No. 166, hexagonal axes)
Inequivalent atoms, fractional coordinates:
Ac: 0.0000 0.0000 0.0000 (multiplicity 3)
La: 0.0000 0.0000 0.2479 (multiplicity 6)
Pr: 0.0000 0.0000 0.5000 (multiplicity 3)

Results
Magnetic moment   0.00 μB/f.u.


Short version: Q is the least stable of them.


P | # AcLa2Pr

A geometry-optimized AcLa2Pr structure (PBE, Alexandria).

abc: 11.974 5.369 5.370
angles: 90.00 116.54 90.00
Space group Cm (No. 8)
Inequivalent atoms, fractional coordinates:
Ac: 0.000 0.000 0.000 (multiplicity 2)
La: 0.000 0.500 0.500 (multiplicity 2)
La: 0.250 0.500 0.250 (multiplicity 2)
Pr: 0.250 0.000 0.750 (multiplicity 2)

Results
Magnetic moment   0.00 μB/f.u.


Q | # AcLa2Pr

A geometry-optimized AcLa2Pr structure (PBE, Alexandria).

abc: 5.342 5.342 5.361
angles: 90.00 90.00 90.00
Space group P4/mmm (No. 123)
Inequivalent atoms, fractional coordinates:
Ac: 0.000 0.000 0.000 (multiplicity 1)
La: 0.000 0.500 0.500 (multiplicity 2)
Pr: 0.500 0.500 0.000 (multiplicity 1)

Results
Magnetic moment   0.00 μB/f.u.


R | # AcLa2Pr

A geometry-optimized AcLa2Pr structure (PBE, Alexandria).

abc: 3.8192 3.8192 37.1261
angles: 90.00 90.00 120.00
Space group R3m (No. 160, hexagonal axes)
Inequivalent atoms, fractional coordinates:
Ac: 0.0000 0.0000 0.0000 (multiplicity 3)
La: 0.0000 0.0000 0.5814 (multiplicity 3)
La: 0.0000 0.0000 0.7528 (multiplicity 3)
Pr: 0.0000 0.0000 0.1674 (multiplicity 3)

Results
Magnetic moment   0.00 μB/f.u.


Short version: R is the least stable of them.


P | # AcLa3Pr5

A geometry-optimized AcLa3Pr5 structure (PBE, Alexandria).

abc: 16.855 7.111 12.142
angles: 90.00 109.24 90.00
Space group C2/c (No. 15)
Inequivalent atoms, fractional coordinates:
Ac: 0.000 0.233 0.250 (multiplicity 4)
La: 0.000 0.000 0.000 (multiplicity 4)
La: 0.243 0.391 0.364 (multiplicity 8)
Pr: 0.000 0.310 0.750 (multiplicity 4)
Pr: 0.108 0.498 0.546 (multiplicity 8)
Pr: 0.177 0.109 0.867 (multiplicity 8)

Results
Magnetic moment   0.00 μB/f.u.


Q | # AcLa3Pr5

A geometry-optimized AcLa3Pr5 structure (PBE, Alexandria).

abc: 11.633 8.475 14.539
angles: 90.00 95.34 90.00
Space group C2/m (No. 12)
Inequivalent atoms, fractional coordinates:
Ac: 0.039 0.000 0.250 (multiplicity 4)
La: 0.000 0.000 0.000 (multiplicity 2)
La: 0.000 0.000 0.500 (multiplicity 2)
La: 0.141 0.500 0.502 (multiplicity 4)
La: 0.231 0.000 0.886 (multiplicity 4)
Pr: 0.000 0.323 0.000 (multiplicity 4)
Pr: 0.015 0.500 0.257 (multiplicity 4)
Pr: 0.218 0.216 0.667 (multiplicity 8)
Pr: 0.236 0.500 0.884 (multiplicity 4)

Results
Magnetic moment   0.00 μB/f.u.


Short version: Q is the least stable of them.